Compound: MgCuNi2O4
Source: Alexandria via LeMat-Bulk
Functional: PBE with a Hubbard U
Structure: relaxed

E_tot = -82.37 eV for the cell shown
Total magnetic moment = 3.00 μB/f.u.

```
MgCuNi2O4
1.0
-2.3042 2.5913 4.7341
-4.1257 -4.1642 0.2724
5.8812 -1.6469 0.0926
Cu Ni O Mg
2 4 8 2
Cartesian
3.5770 0.9444 4.8267
-0.2743 -1.6099 2.5495
-1.1521 1.2957 2.3671
-3.2149 -0.7864 2.5032
2.9406 -0.8235 0.0463
1.7885 0.4722 2.4134
-1.9634 -1.8864 3.6565
-0.7226 -3.2543 1.4503
-2.7462 0.9337 3.6525
-4.7411 -1.2974 3.8988
2.1975 -4.1535 1.4467
1.4147 -1.3335 1.4426
4.1924 -1.9224 1.2002
0.1740 0.0345 3.6487
-2.0628 -2.0821 0.1362
-1.4264 -0.3142 4.9166
```

Compound: Mg30CuNiO32
Source: Alexandria via LeMat-Bulk
Functional: PBE with a Hubbard U
Structure: relaxed

E_tot = -378.35 eV for the cell shown
Total magnetic moment = 2.34 μB/f.u.

```
Mg30CuNiO32
1.0
-6.7443 -2.8419 4.3214
3.2577 -7.8497 -0.0779
4.0309 1.6000 7.3432
Mg O Ni Cu
30 32 1 1
Cartesian
1.1461 -1.8657 4.7296
-0.6632 -0.3041 2.9132
-4.0602 -1.7355 5.0898
-0.6018 -7.2258 6.8571
-1.7433 -5.3458 2.1218
3.4598 -5.5007 1.7822
-1.3567 -0.6209 5.8323
-4.2526 -4.0894 3.2255
1.6289 -3.9248 -0.0389
-1.5513 -2.9807 3.9768
0.0799 -6.9109 3.9378
-0.8686 -2.6635 1.0571
-3.3722 -1.4209 2.1607
1.8189 -1.5468 1.8215
0.7660 -6.6021 1.0181
5.4697 -4.7028 5.4438
0.9527 -4.2344 2.8755
-2.0503 -0.9377 8.7514
3.6443 -3.1248 3.6327
-2.4241 -5.6573 5.0391
2.0956 -6.1108 7.6099
3.8289 -0.7490 5.4831
-2.6180 -8.0281 3.1864
0.2722 -4.5458 5.7933
-2.2350 -3.2905 6.8961
0.4645 -2.1806 7.6489
-0.4084 -4.8571 8.7112
2.7793 -5.8010 4.6906
2.9684 -3.4343 6.5475
1.3468 0.4937 6.5748
0.3170 0.0843 4.7598
2.8358 -1.1768 3.6520
-1.6910 -0.7125 1.0835
-2.3664 -1.0217 3.9929
-3.0304 -1.3262 6.9047
1.7685 -6.2003 2.8542
-3.4324 -6.0575 3.2040
-5.0533 -2.1293 3.2379
-2.5592 -3.3799 2.1413
-1.6096 -7.6237 5.0187
-1.4145 -5.2565 6.8741
-0.5426 -2.5826 5.8128
0.1368 -2.2685 2.8932
0.8168 -1.9681 -0.0195
2.1539 -1.4678 6.5680
4.4528 -5.0729 3.6133
1.0435 0.4142 1.9009
-0.7364 -4.9461 3.9560
1.2807 -4.1454 7.6307
-1.2242 -2.8912 8.7325
0.4076 -6.8230 8.6935
-0.0542 -4.6340 1.0395
2.4409 -5.8816 -0.0584
1.9588 -3.8350 4.7126
-0.3470 -0.2201 7.6716
-3.2414 -3.6919 5.0577
3.7857 -5.3996 6.5290
2.6346 -3.5256 1.7933
-0.9274 -7.3117 2.1023
1.0869 -6.5089 5.7739
4.6540 -2.7240 5.4720
2.9874 1.1858 5.4423
2.0155 0.8000 3.6716
0.0000 0.0000 0.0000
```

- Which of these has the highest total magnetic moment?
  MgCuNi2O4

What did the first record say?
Compound: MgCuNi2O4
Source: Alexandria via LeMat-Bulk
Functional: PBE with a Hubbard U
Structure: relaxed

E_tot = -82.37 eV for the cell shown
Total magnetic moment = 3.00 μB/f.u.

```
MgCuNi2O4
1.0
-2.3042 2.5913 4.7341
-4.1257 -4.1642 0.2724
5.8812 -1.6469 0.0926
Cu Ni O Mg
2 4 8 2
Cartesian
3.5770 0.9444 4.8267
-0.2743 -1.6099 2.5495
-1.1521 1.2957 2.3671
-3.2149 -0.7864 2.5032
2.9406 -0.8235 0.0463
1.7885 0.4722 2.4134
-1.9634 -1.8864 3.6565
-0.7226 -3.2543 1.4503
-2.7462 0.9337 3.6525
-4.7411 -1.2974 3.8988
2.1975 -4.1535 1.4467
1.4147 -1.3335 1.4426
4.1924 -1.9224 1.2002
0.1740 0.0345 3.6487
-2.0628 -2.0821 0.1362
-1.4264 -0.3142 4.9166
```